No. 1
Density functional theory data (PBE-GGA) for Er8Co2Cu after structural relaxation.

Structure (extended XYZ):
```
11
Lattice="4.092 -6.100 0.000 4.092 6.100 0.000 -1.670 0.000 5.560" Properties=species:S:1:pos:R:3 pbc="T T T"
Er 0.000 0.000 0.000
Er 0.314 1.628 3.312
Er 2.705 2.751 1.061
Er 0.314 -1.628 3.312
Er 3.360 1.634 4.425
Er 2.705 -2.751 1.061
Er 3.360 -1.634 4.425
Er 5.386 0.000 2.136
Co 1.837 3.795 3.865
Co 1.837 -3.795 3.865
Cu 2.966 0.000 0.207
```

Calculated values
E_form ... -0.05 eV per atom
Uncorrected energy ... -55.4 eV per cell

***

No. 2
Density functional theory data (PBE-GGA) for Er2Co2Cu after structural relaxation.

Structure (extended XYZ):
```
10
Lattice="6.680 0.000 0.000 0.000 6.680 0.000 0.000 0.000 3.909" Properties=species:S:1:pos:R:3 pbc="T T T"
Er 1.198 2.142 0.000
Er 2.142 5.482 0.000
Er 4.538 1.198 0.000
Er 5.482 4.538 0.000
Co 0.812 4.151 1.954
Co 2.528 0.812 1.954
Co 4.151 5.868 1.954
Co 5.868 2.528 1.954
Cu 0.000 0.000 1.954
Cu 3.340 3.340 1.954
```

Calculated values
E_form ... -0.18 eV per atom
Uncorrected energy ... -56.7 eV per cell

***

No. 3
Density functional theory data (PBE-GGA) for Er3Co3Cu after structural relaxation.

Structure (extended XYZ):
```
14
Lattice="2.068 -4.862 0.000 2.068 4.862 0.000 0.000 0.000 12.512" Properties=species:S:1:pos:R:3 pbc="T T T"
Er 2.068 4.860 3.128
Er 2.068 -4.860 9.384
Er 2.068 2.048 7.545
Er 2.068 2.048 11.224
Er 2.068 -2.048 1.288
Er 2.068 -2.048 4.968
Co 2.068 1.947 3.128
Co 2.068 0.764 1.154
Co 2.068 0.764 5.102
Co 2.068 -0.764 7.411
Co 2.068 -0.764 11.358
Co 2.068 -1.947 9.384
Cu 0.000 0.000 0.000
Cu 0.000 0.000 6.256
```

Calculated values
E_form ... -0.25 eV per atom
Uncorrected energy ... -81.6 eV per cell

***

No. 4
Density functional theory data (PBE-GGA) for Er6CoCu5 after structural relaxation.

Structure (extended XYZ):
```
12
Lattice="-2.411 3.425 7.218 2.411 -3.425 7.218 2.411 3.425 -7.218" Properties=species:S:1:pos:R:3 pbc="T T T"
Er 2.411 1.682 -2.350
Er 0.000 1.659 0.000
Er 2.411 1.682 2.350
Er 0.000 1.742 4.868
Er 0.000 5.190 0.000
Er 0.000 1.742 9.569
Co 2.411 0.000 0.000
Cu 0.000 0.000 2.434
Cu 2.411 0.000 4.824
Cu 0.000 0.000 7.218
Cu 0.000 3.425 2.394
Cu 0.000 0.000 12.002
```

Calculated values
E_form ... -0.27 eV per atom
Uncorrected energy ... -58.2 eV per cell

***

No. 5
Density functional theory data (PBE-GGA) for Er5Co2Cu after structural relaxation.

Structure (extended XYZ):
```
16
Lattice="-3.707 3.707 6.442 3.707 -3.707 6.442 3.707 3.707 -6.442" Properties=species:S:1:pos:R:3 pbc="T T T"
Er 0.000 0.000 0.000
Er 4.914 1.207 -1.770
Er 1.207 2.500 -1.770
Er 4.914 1.207 1.770
Er 1.207 2.500 1.770
Er 0.000 0.000 6.442
Er 2.500 1.207 4.672
Er -1.207 2.500 4.672
Er 2.500 1.207 8.211
Er -1.207 2.500 8.211
Co 2.721 0.986 0.000
Co 2.721 -0.986 6.442
Co 0.986 4.693 0.000
Co 0.986 2.721 6.442
Cu 0.000 0.000 3.221
Cu 0.000 0.000 9.663
```

Calculated values
E_form ... -0.22 eV per atom
Uncorrected energy ... -85.7 eV per cell

***

No. 6
Density functional theory data (PBE-GGA) for Er2Co5Cu5 after structural relaxation.

Structure (extended XYZ):
```
12
Lattice="4.079 0.000 0.000 0.000 4.818 0.000 0.000 0.000 8.607" Properties=species:S:1:pos:R:3 pbc="T T T"
Er 0.000 0.000 0.000
Er 0.000 2.409 4.304
Co 2.039 0.000 4.304
Co 2.039 1.220 2.222
Co 2.039 1.220 6.386
Co 2.039 3.598 2.222
Co 2.039 3.598 6.386
Cu 0.000 0.000 2.853
Cu 0.000 0.000 5.755
Cu 0.000 2.409 1.478
Cu 0.000 2.409 7.129
Cu 2.039 2.409 0.000
```

Calculated values
E_form ... -0.12 eV per atom
Uncorrected energy ... -66.6 eV per cell

***

No. 7
Density functional theory data (PBE-GGA) for Er2Co3Cu after structural relaxation.

Structure (extended XYZ):
```
6
Lattice="2.518 1.454 4.202 -2.518 1.454 4.202 0.000 -2.907 4.202" Properties=species:S:1:pos:R:3 pbc="T T T"
Er 0.000 0.000 1.533
Er 0.000 0.000 11.072
Co -1.259 -0.727 4.202
Co -1.259 0.727 8.404
Co 0.000 1.454 4.202
Cu 0.000 0.000 6.303
```

Calculated values
E_form ... -0.22 eV per atom
Uncorrected energy ... -35.9 eV per cell

***

No. 8
Density functional theory data (PBE-GGA) for EuErCoCu after structural relaxation.

Structure (extended XYZ):
```
4
Lattice="0.000 3.439 3.439 3.439 0.000 3.439 3.439 3.439 0.000" Properties=species:S:1:pos:R:3 pbc="T T T"
Eu 0.000 0.000 0.000
Er 3.439 3.439 3.439
Co 1.720 1.720 1.720
Cu 5.159 5.159 5.159
```

Calculated values
E_form ... -0.01 eV per atom
Uncorrected energy ... -26.1 eV per cell

***

No. 9
Density functional theory data (PBE-GGA) for Er2Ga6CoCu after structural relaxation.

Structure (extended XYZ):
```
10
Lattice="0.000 4.584 4.584 4.584 0.000 4.584 4.584 4.584 0.000" Properties=species:S:1:pos:R:3 pbc="T T T"
Er 2.292 2.292 2.292
Er 6.877 6.877 6.877
Ga 4.584 4.584 2.277
Ga 4.584 2.277 4.584
Ga 6.892 4.584 4.584
Ga 2.277 4.584 4.584
Ga 4.584 6.892 4.584
Ga 4.584 4.584 6.892
Co 0.000 0.000 0.000
Cu 4.584 4.584 4.584
```

Calculated values
E_form ... -0.18 eV per atom
Uncorrected energy ... -40.3 eV per cell

***

No. 10
Density functional theory data (PBE-GGA) for Er2Ga4CoCu3 after structural relaxation.

Structure (extended XYZ):
```
10
Lattice="3.991 0.000 0.000 0.000 3.991 0.000 0.000 0.000 10.488" Properties=species:S:1:pos:R:3 pbc="T T T"
Er 0.000 1.996 2.570
Er 1.996 0.000 7.918
Ga 0.000 0.000 5.244
Ga 0.000 1.996 9.127
Ga 1.996 0.000 1.360
Ga 1.996 1.996 5.244
Co 1.996 1.996 0.000
Cu 0.000 0.000 0.000
Cu 0.000 1.996 6.730
Cu 1.996 0.000 3.758
```

Calculated values
E_form ... -0.41 eV per atom
Uncorrected energy ... -44.7 eV per cell

***

No. 11
Density functional theory data (PBE-GGA) for ErGa3CoCu after structural relaxation.

Structure (extended XYZ):
```
12
Lattice="3.093 -5.789 0.000 3.093 5.789 0.000 0.000 0.000 5.816" Properties=species:S:1:pos:R:3 pbc="T T T"
Er 3.093 3.289 4.362
Er 3.093 -3.289 1.454
Ga 1.266 0.000 0.000
Ga 1.266 0.000 2.908
Ga 3.093 1.951 1.454
Ga 3.093 -1.951 4.362
Ga 4.919 0.000 0.000
Ga 4.919 0.000 2.908
Co 3.093 4.277 1.454
Co 3.093 -4.277 4.362
Cu 3.093 0.570 4.362
Cu 3.093 -0.570 1.454
```

Calculated values
E_form ... -0.17 eV per atom
Uncorrected energy ... -51.7 eV per cell

***

No. 12
Density functional theory data (PBE-GGA) for Er2Co3CuGe4 after structural relaxation.

Structure (extended XYZ):
```
10
Lattice="4.044 0.000 0.000 0.000 4.044 0.000 0.000 0.000 9.783" Properties=species:S:1:pos:R:3 pbc="T T T"
Er 0.000 2.022 2.382
Er 2.022 0.000 7.401
Co 0.000 2.022 8.554
Co 2.022 0.000 1.230
Co 2.022 2.022 4.892
Cu 0.000 0.000 4.892
Ge 0.000 0.000 0.000
Ge 0.000 2.022 6.251
Ge 2.022 0.000 3.532
Ge 2.022 2.022 0.000
```

Calculated values
E_form ... -0.52 eV per atom
Uncorrected energy ... -58.3 eV per cell